The following is a GGA-PBE calculation of a relaxed structure of LiMn2Te, from the Alexandria database.

Lattice parameters (Å, degrees): 3.9951 3.9951 17.3897 90.00 90.00 120.00
Space group R3m (No. 160, hexagonal axes)
Inequivalent atoms, fractional coordinates:
Li  0.0000  0.0000  0.0000 x3
Mn  0.0000  0.0000  0.4606 x3
Mn  0.0000  0.0000  0.7678 x3
Te  0.0000  0.0000  0.2069 x3

## Properties
The uncorrected formation energy comes out at 0.121 eV per atom. The value obtained for the total moment is 0.2565 μB per atom. Its crystal system is trigonal.